Record 1
BaCaMg: relaxed, GGA-PBE.

* E_tot: -5.36 eV/cell
* density: 2661 kg/m³
* DFT formation energy: 4.96 kJ per mole of atoms
* space-group type: P-6m2
* energy above the most stable polymorph in this dataset: 74 meV per atom

Geometry as POSCAR:
```
BaCaMg
1.0
6.036 0.000 0.000
-3.018 5.227 0.000
0.000 0.000 3.990
Ba Ca Mg
1 1 1
direct
0.000 0.000 0.000
0.667 0.333 0.500
0.333 0.667 0.500
```

=====

Record 2
Zr5P: relaxed, GGA-PBE.

* E_tot: -101.09 eV/cell
* density: 6195 kg/m³
* DFT formation energy: -38.53 kJ per mole of atoms
* space-group type: Cm
* energy above the most stable polymorph in this dataset: 0 meV per atom

Geometry as POSCAR:
```
Zr5P
1.0
10.355 0.000 0.000
0.000 3.370 0.000
-1.521 0.000 7.484
Zr P
10 2
direct
0.000 0.000 0.000
0.057 0.000 0.404
0.158 0.500 0.745
0.262 0.500 0.238
0.370 0.000 0.627
0.500 0.500 0.000
0.557 0.500 0.404
0.658 0.000 0.745
0.762 0.000 0.238
0.870 0.500 0.627
0.289 0.000 0.975
0.789 0.500 0.975
```

=====

Record 3
Tm3FeSn: relaxed, GGA-PBE.

* E_tot: -54.74 eV/cell
* density: 9206 kg/m³
* DFT formation energy: -28.77 kJ per mole of atoms
* space-group type: P6_3/mmc

Geometry as POSCAR:
```
Tm3FeSn
1.0
7.371 0.000 0.000
-3.686 6.384 0.000
0.000 0.000 5.223
Tm Fe Sn
6 2 2
direct
0.178 0.356 0.250
0.178 0.822 0.250
0.356 0.178 0.750
0.644 0.822 0.250
0.822 0.178 0.750
0.822 0.644 0.750
0.000 0.000 0.000
0.000 0.000 0.500
0.333 0.667 0.750
0.667 0.333 0.250
```

=====

Record 4
CaIr2Os: relaxed, GGA-PBE.

* E_tot: -60.86 eV/cell
* density: 15860 kg/m³
* DFT formation energy: 12.58 kJ per mole of atoms
* space-group type: Cm
* energy above the most stable polymorph in this dataset: 107 meV per atom

Geometry as POSCAR:
```
CaIr2Os
1.0
10.485 0.000 0.000
0.000 2.781 0.000
-2.264 0.000 4.416
Ca Ir Os
2 4 2
direct
0.000 0.000 0.000
0.500 0.500 0.000
0.261 0.500 0.097
0.496 0.000 0.511
0.761 0.000 0.097
0.996 0.500 0.511
0.233 0.000 0.579
0.733 0.500 0.579
```